[1]
The following is a DFT calculation (PBE-GGA) of Nd2MgGePt6 after structural relaxation.

a b c (Å): 5.5035 6.5560 6.9029
angles (deg): 79.70 66.53 65.19
With the nearest neighbours (Å) after each atom.
Space group P-1 (No. 2)
Inequivalent atoms, fractional coordinates:
Nd 0.2422 0.2146 0.3007 x2  7 Pt 3.02-3.35
Mg 0.5000 0.5000 0.5000 x1  6 Pt 2.61-2.62
Ge 0.0000 0.0000 0.0000 x1  6 Pt 2.50-2.51
Pt 0.2439 0.7654 0.2495 x2  1 Ge 2.51, 1 Mg 2.61, 4 Pt 2.73-2.80
Pt 0.2504 0.5935 0.9037 x2  1 Ge 2.50, 1 Mg 2.62, 4 Pt 2.73-2.80
Pt 0.2596 0.2339 0.7501 x2  1 Ge 2.51, 1 Mg 2.61, 4 Pt 2.73-2.80

## Properties
energy of formation from the pure elements = -772 meV per atom
DOS at the Fermi energy = 3.32 states/eV per cell
magnetization = 0.0 μB/f.u.
calculated total energy = -5.97 eV per atom

[2]
The following is a DFT calculation (PBE-GGA) of Fe2SnOs2 after structural relaxation.

a b c (Å): 7.3239 7.3239 2.8227
angles (deg): 90.00 90.00 90.00
With the nearest neighbours (Å) after each atom.
Space group P4/mbm (No. 127)
Inequivalent atoms, fractional coordinates:
Fe 0.1619 0.3381 0.0000 x4  6 Os 2.57-2.58, 2 Fe 2.82
Sn 0.0000 0.0000 0.5000 x2  2 Sn 2.82, 4 Os 2.88, 8 Fe 3.09
Os 0.1292 0.6292 0.5000 x4  6 Fe 2.57-2.58, 3 Os 2.68-2.82

## Properties
energy of formation from the pure elements = 421 meV per atom
DOS at the Fermi energy = 12.55 states/eV per cell
magnetization = 4.7 μB/f.u.
calculated total energy = -8.26 eV per atom

[3]
The following is a DFT calculation (PBE-GGA) of Cd3FeC after structural relaxation.

a b c (Å): 4.9825 4.9825 4.9825
angles (deg): 90.00 90.00 90.00
With the nearest neighbours (Å) after each atom.
Space group Pm-3m (No. 221)
Inequivalent atoms, fractional coordinates:
Cd 0.0000 0.0000 0.5000 x3  2 Fe 2.49
Fe 0.0000 0.0000 0.0000 x1  6 Cd 2.49
C 0.5000 0.5000 0.5000 x1  12 Cd 3.52

## Properties
energy of formation from the pure elements = 1972 meV per atom
DOS at the Fermi energy = 11.47 states/eV per cell
magnetization = 1.6 μB/f.u.
calculated total energy = -2.11 eV per atom

[4]
The following is a DFT calculation (PBE-GGA) of KCd11Pd after structural relaxation.

a b c (Å): 5.6664 14.4791 7.8278
angles (deg): 90.00 108.91 90.00
With the nearest neighbours (Å) after each atom.
Space group C2/m (No. 12)
Inequivalent atoms, fractional coordinates:
K 0.0000 0.0000 0.0000 x2  18 Cd 3.62-3.91, 2 Pd 4.02
Cd 0.0000 0.0000 0.5000 x2  2 Pd 2.83, 8 Cd 3.00-3.05
Cd 0.0993 0.3940 0.2227 x8  1 Pd 2.86, 5 Cd 3.00-3.07
Cd 0.1879 0.1725 0.3620 x8  8 Cd 3.03-3.37, 1 Pd 3.05
Cd 0.2500 0.2500 0.0000 x4  8 Cd 2.83-3.17
Pd 0.0000 0.5000 0.5000 x2  10 Cd 2.83-3.05

## Properties
energy of formation from the pure elements = -98 meV per atom
DOS at the Fermi energy = 10.13 states/eV per cell
magnetization = 0.0 μB/f.u.
calculated total energy = -1.36 eV per atom